1.
18
Lattice="-1.896 -3.447 1.941 7.407 1.973 5.780 -7.691 8.204 7.055" Properties=species:S:1:pos:R:3 comment="LiPm2UTe5 (PBE, optimized geometry)" raw_formation_energy_ev_per_atom=-1.0664 magnetic_moment_mub_per_cell=5.755 pbc="T T T"
Pm -0.669 2.534 3.846
Pm 2.702 -0.005 7.587
Pm -2.297 5.035 11.652
Pm -3.892 5.678 6.281
Te -2.955 8.385 12.002
Te -3.067 2.443 6.299
Te -1.484 5.639 8.562
Te 0.483 3.199 11.108
Te -5.023 5.295 9.453
Te 0.534 -0.221 5.086
Te 1.395 2.979 6.652
Te 0.420 6.654 12.225
Te -3.074 0.582 2.988
Te 0.067 0.619 1.165
Li 2.177 4.005 9.236
Li -7.605 6.191 8.521
U -0.994 2.599 8.601
U 2.525 0.171 2.771

=====

2.
8
Lattice="4.393 0.000 0.000 0.000 7.601 0.132 0.000 -2.649 7.030" Properties=species:S:1:pos:R:3 comment="Li2PmYTe4 (PBE, optimized geometry)" raw_formation_energy_ev_per_atom=-1.3018 magnetic_moment_mub_per_cell=0.000 pbc="T T T"
Te 2.196 3.679 5.303
Te 2.196 1.273 1.859
Te 0.000 -0.045 5.257
Te 0.000 4.997 1.905
Li 0.000 2.476 3.581
Li 2.196 -1.324 3.515
Y 2.196 3.800 0.066
Pm 0.000 0.000 0.000

=====

3.
8
Lattice="4.355 0.000 0.000 0.000 7.601 0.152 0.000 -2.637 7.120" Properties=species:S:1:pos:R:3 comment="LiPmY2Te4 (PBE, optimized geometry)" raw_formation_energy_ev_per_atom=-1.3449 magnetic_moment_mub_per_cell=0.000 pbc="T T T"
Li 2.178 3.800 0.076
Te 2.178 3.650 5.445
Te 2.178 1.313 1.826
Te 0.000 4.984 1.868
Te 0.000 -0.020 5.404
Y 2.178 -1.319 3.560
Y 0.000 2.482 3.636
Pm 0.000 0.000 0.000

=====

4.
12
Lattice="-0.502 -4.224 1.110 8.545 -1.436 -1.600 0.083 4.570 8.723" Properties=species:S:1:pos:R:3 comment="LiPm3Y2Te6 (PBE, optimized geometry)" raw_formation_energy_ev_per_atom=-1.3641 magnetic_moment_mub_per_cell=0.000 pbc="T T T"
Te 4.639 -2.119 2.743
Te 2.026 -0.332 -0.348
Te 7.704 0.354 4.833
Te 3.487 1.028 5.490
Te 0.422 -1.445 3.400
Te 6.100 -0.758 8.581
Y 5.305 -1.428 5.672
Y 2.821 0.338 2.561
Pm 1.086 -0.722 6.450
Pm 7.040 -0.369 1.783
Pm 4.021 -2.830 -0.245
Li -0.251 -2.112 0.555

=====

5.
12
Lattice="4.378 0.000 0.000 0.000 8.786 0.307 -2.189 -2.540 9.239" Properties=species:S:1:pos:R:3 comment="LiPm2Y3Te6 (PBE, optimized geometry)" raw_formation_energy_ev_per_atom=-1.3585 magnetic_moment_mub_per_cell=0.000 pbc="T T T"
Li 2.189 0.000 0.000
Y 2.189 4.393 0.154
Y 2.189 -0.201 6.153
Y 0.000 6.447 3.393
Te 2.189 -0.399 9.285
Te 0.000 1.895 6.358
Te 2.189 -0.155 3.016
Te 0.000 6.645 0.261
Te 0.000 6.401 6.530
Te 2.189 4.352 3.188
Pm 2.189 4.108 6.296
Pm 0.000 2.138 3.250

=====

6.
12
Lattice="7.577 -0.001 0.000 -3.788 6.562 0.000 -1.264 -2.188 7.075" Properties=species:S:1:pos:R:3 comment="Li3PmY2Te6 (PBE, optimized geometry)" raw_formation_energy_ev_per_atom=-1.3039 magnetic_moment_mub_per_cell=0.000 pbc="T T T"
Li 5.062 -0.008 3.538
Li 1.263 2.186 3.538
Li -2.536 4.380 3.538
Te 2.504 4.335 1.824
Te 2.569 0.000 1.819
Te 0.021 0.037 5.251
Te -0.044 4.373 5.256
Te 3.809 2.148 5.256
Te -1.284 2.225 1.819
Y 3.790 2.186 0.000
Y -0.001 4.375 0.000
Pm 0.000 0.000 0.000